No. 1
Here is a relaxed Mn2GaReSe crystal from Alexandria. Energies are from PBE.

Its total energy is -0.2737 hartree per atom.

It has space group I4mm (No. 107), with a = 3.1540 Å, b = 3.1540 Å, c = 14.9268 Å, α = 90.00°, β = 90.00° and γ = 90.00°. The inequivalent atoms are Mn at (0.0000, 0.0000, 0.0000), Mn at (0.0000, 0.0000, 0.4034), Ga at (0.0000, 0.0000, 0.1870), Re at (0.0000, 0.0000, 0.5826) and Se at (0.0000, 0.0000, 0.8357).

***

No. 2
Here is a relaxed Mn2GaReSe crystal from Alexandria. Energies are from PBE.

Its total energy is -0.2718 hartree per atom.

It has space group Pmm2 (No. 25), with a = 3.5154 Å, b = 3.7591 Å, c = 6.1773 Å, α = 90.00°, β = 90.00° and γ = 90.00°. The inequivalent atoms are Mn at (0.0000, 0.0000, 0.0000), Mn at (0.5000, 0.5000, 0.0083), Ga at (0.0000, 0.5000, 0.6815), Re at (0.5000, 0.0000, 0.6853) and Se at (0.5000, 0.0000, 0.2720).

***

No. 3
Here is a relaxed Mn2GaReSe crystal from Alexandria. Energies are from PBE.

Its total energy is -0.2634 hartree per atom.

It has space group Cm (No. 8), with a = 8.3628 Å, b = 2.8677 Å, c = 7.8242 Å, α = 90.00°, β = 121.96° and γ = 90.00°. The inequivalent atoms are Mn at (0.0000, 0.0000, 0.0000), Mn at (0.0000, 0.0000, 0.4776), Ga at (0.1097, 0.5000, 0.7972), Re at (0.3391, 0.0000, 0.1351) and Se at (0.1915, 0.5000, 0.4287).

***

No. 4
Here is a relaxed Mn2GaReSe crystal from Alexandria. Energies are from PBE.

Its total energy is -0.2700 hartree per atom.

It has space group Amm2 (No. 38), with a = 3.0911 Å, b = 2.8212 Å, c = 17.9274 Å, α = 90.00°, β = 90.00° and γ = 90.00°. The inequivalent atoms are Mn at (0.0000, 0.0000, 0.0000), Mn at (0.5000, 0.0000, 0.4194), Ga at (0.5000, 0.0000, 0.5776), Re at (0.0000, 0.0000, 0.8411) and Se at (0.5000, 0.0000, 0.7291).